Record 1
Rb2NdErO4: relaxed, GGA-PBE.

a b c (Å): 6.1898 3.5737 6.8954
angles (deg): 90.00 107.33 90.00
With the nearest neighbours (Å) after each atom.
Sites, in units of the cell vectors:
Rb  0.0000  0.0000  0.0000  6 O 2.99-3.01
Rb  0.5000  0.5000  0.0000  6 O 2.92-2.93
Nd  0.0000  0.5000  0.5000  6 O 2.41-2.42
Er  0.5000  0.0000  0.5000  6 O 2.31-2.34
O  0.2378  0.0000  0.6783  1 Er 2.31, 2 Nd 2.41
O  0.2850  0.5000  0.3239  2 Er 2.34, 1 Nd 2.42
O  0.7150  0.5000  0.6761  2 Er 2.34, 1 Nd 2.42
O  0.7622  0.0000  0.3217  1 Er 2.31, 2 Nd 2.41

Summary:
The formation energy (no corrections) is -2.63 eV per atom. For the density of states at the Fermi level, the calculation gives 0.00 states/eV per cell.

Record 2
Cs2LiZrCl6: relaxed, GGA-PBE.

a b c (Å): 12.9216 12.9216 12.9216
angles (deg): 33.74 33.74 33.74
With the nearest neighbours (Å) after each atom.
Sites, in units of the cell vectors:
Cs  0.1252  0.1252  0.1252  12 Cl 3.75-3.80
Cs  0.2903  0.2903  0.2903  12 Cl 3.75-3.76
Cs  0.7097  0.7097  0.7097  12 Cl 3.75-3.76
Cs  0.8748  0.8748  0.8748  12 Cl 3.75-3.80
Li  0.4122  0.4122  0.4122  6 Cl 2.62-2.66
Li  0.5878  0.5878  0.5878  6 Cl 2.62-2.66
Zr  0.0000  0.0000  0.0000  6 Cl 2.58
Zr  0.5000  0.5000  0.5000  6 Cl 2.56
Cl  0.1420  0.6164  0.6164  1 Zr 2.56, 1 Li 2.66
Cl  0.2035  0.2035  0.7132  1 Zr 2.58, 1 Li 2.62
Cl  0.2035  0.7132  0.2035  1 Zr 2.58, 1 Li 2.62
Cl  0.2868  0.7965  0.7965  1 Zr 2.58, 1 Li 2.62
Cl  0.3836  0.3836  0.8580  1 Zr 2.56, 1 Li 2.66
Cl  0.3836  0.8580  0.3836  1 Zr 2.56, 1 Li 2.66
Cl  0.6164  0.1420  0.6164  1 Zr 2.56, 1 Li 2.66
Cl  0.6164  0.6164  0.1420  1 Zr 2.56, 1 Li 2.66
Cl  0.7132  0.2035  0.2035  1 Zr 2.58, 1 Li 2.62
Cl  0.7965  0.2868  0.7965  1 Zr 2.58, 1 Li 2.62
Cl  0.7965  0.7965  0.2868  1 Zr 2.58, 1 Li 2.62
Cl  0.8580  0.3836  0.3836  1 Zr 2.56, 1 Li 2.66

Summary:
The formation energy (no corrections) is -1.86 eV per atom. For the density of states at the Fermi level, the calculation gives 11.49 states/eV per cell.

Record 3
AlZnMo2: relaxed, GGA-PBE.

a b c (Å): 4.7297 4.7297 2.6991
angles (deg): 90.00 90.00 90.00
With the nearest neighbours (Å) after each atom.
Sites, in units of the cell vectors:
Al  0.0000  0.0000  0.0000  2 Al 2.70, 8 Mo 2.72
Zn  0.5000  0.5000  0.0000  2 Zn 2.70, 8 Mo 2.72
Mo  0.0000  0.5000  0.5000  2 Mo 2.70, 4 Zn 2.72, 4 Al 2.72
Mo  0.5000  0.0000  0.5000  2 Mo 2.70, 4 Zn 2.72, 4 Al 2.72

Summary:
For the density of states at the Fermi level, the calculation gives 2.94 states/eV per cell. As for the energy relative to the elements: 118 meV per atom.

Record 4
Dy2ScSe2O2: relaxed, GGA-PBE.

a b c (Å): 4.0671 4.0671 15.0353
angles (deg): 90.00 90.00 90.00
With the nearest neighbours (Å) after each atom.
Sites, in units of the cell vectors:
Dy  0.0000  0.0000  0.1220  4 O 2.74, 5 Se 2.98-3.00
Dy  0.0000  0.0000  0.8780  4 O 2.74, 5 Se 2.98-3.00
Dy  0.5000  0.5000  0.3780  4 O 2.74, 5 Se 2.98-3.00
Dy  0.5000  0.5000  0.6220  4 O 2.74, 5 Se 2.98-3.00
Sc  0.0000  0.0000  0.5000  4 O 2.03
Sc  0.5000  0.5000  0.0000  4 O 2.03
Se  0.0000  0.0000  0.3201  1 Sc 2.71, 5 Dy 2.98-3.00
Se  0.0000  0.0000  0.6799  1 Sc 2.71, 5 Dy 2.98-3.00
Se  0.5000  0.5000  0.1799  1 Sc 2.71, 5 Dy 2.98-3.00
Se  0.5000  0.5000  0.8201  1 Sc 2.71, 5 Dy 2.98-3.00
O  0.0000  0.5000  0.0000  2 Sc 2.03
O  0.0000  0.5000  0.5000  2 Sc 2.03
O  0.5000  0.0000  0.0000  2 Sc 2.03
O  0.5000  0.0000  0.5000  2 Sc 2.03

Summary:
The formation energy (no corrections) is -2.43 eV per atom. For the density of states at the Fermi level, the calculation gives 4.73 states/eV per cell.

Record 5
PIrW2: relaxed, GGA-PBE.

a b c (Å): 2.7962 3.9709 5.4585
angles (deg): 90.00 102.65 90.00
With the nearest neighbours (Å) after each atom.
Sites, in units of the cell vectors:
P  0.0000  0.0000  0.0000  4 W 2.50, 2 Ir 2.73, 2 P 2.80
Ir  0.0000  0.0000  0.5000  2 P 2.73, 8 W 2.78-2.82, 2 Ir 2.80
W  0.4018  0.5000  0.2374  2 P 2.50, 4 W 2.76-2.80, 2 Ir 2.78
W  0.5982  0.5000  0.7626  2 P 2.50, 4 W 2.76-2.80, 2 Ir 2.78

Summary:
For the density of states at the Fermi level, the calculation gives 2.25 states/eV per cell. As for the energy relative to the elements: -9 meV per atom.

Record 6
Pu2Sb3: relaxed, GGA-PBE.

a b c (Å): 4.3028 7.9409 8.1848
angles (deg): 90.00 90.00 90.00
With the nearest neighbours (Å) after each atom.
Sites, in units of the cell vectors:
Pu  0.0000  0.0000  0.2188  8 Sb 3.15-3.26
Pu  0.0000  0.0000  0.7812  8 Sb 3.15-3.26
Pu  0.5000  0.5000  0.2812  8 Sb 3.15-3.26
Pu  0.5000  0.5000  0.7188  8 Sb 3.15-3.26
Sb  0.0000  0.2914  0.5000  3 Sb 3.16-3.31, 6 Pu 3.25-3.26
Sb  0.0000  0.5000  0.0000  4 Pu 3.15, 4 Sb 3.16
Sb  0.0000  0.7086  0.5000  3 Sb 3.16-3.31, 6 Pu 3.25-3.26
Sb  0.5000  0.0000  0.5000  4 Pu 3.15, 4 Sb 3.16
Sb  0.5000  0.2086  0.0000  3 Sb 3.16-3.31, 6 Pu 3.25-3.26
Sb  0.5000  0.7914  0.0000  3 Sb 3.16-3.31, 6 Pu 3.25-3.26

Summary:
The formation energy (no corrections) is -0.53 eV per atom. For the density of states at the Fermi level, the calculation gives 39.64 states/eV per cell. The value obtained for the polymorph energy (0 for the lowest one) is 0.0 meV/atom.

Record 7
Pm5Ho2TmTh: relaxed, GGA-PBE.

a b c (Å): 10.6371 10.6371 10.6024
angles (deg): 90.00 90.00 149.52
With the nearest neighbours (Å) after each atom.
Sites, in units of the cell vectors:
Pm  0.0124  0.9876  0.5000  2 Tm 3.33, 4 Ho 3.44-3.70, 2 Pm 3.71
Pm  0.2764  0.7236  0.7963  1 Tm 3.08, 1 Ho 3.33, 2 Pm 3.33
Pm  0.2919  0.7081  0.1890  2 Pm 3.33, 1 Tm 3.41, 2 Th 3.48, 3 Ho 3.55-3.71
Pm  0.3825  0.6175  0.5063  6 Pm 3.60-3.86, 4 Ho 3.63, 1 Th 3.75
Pm  0.4851  0.5149  0.2306  2 Tm 3.26-3.41, 2 Ho 3.51, 2 Pm 3.60-3.61
Pm  0.5149  0.4851  0.7306  2 Tm 3.26-3.41, 2 Ho 3.51, 2 Pm 3.60-3.61
Pm  0.6175  0.3825  0.0063  6 Pm 3.60-3.86, 4 Ho 3.63, 1 Th 3.75
Pm  0.7081  0.2919  0.6890  2 Pm 3.33, 1 Tm 3.41, 2 Th 3.48, 3 Ho 3.55-3.71
Pm  0.7236  0.2764  0.2963  1 Tm 3.08, 1 Ho 3.33, 2 Pm 3.33
Pm  0.9876  0.0124  0.0000  2 Tm 3.33, 4 Ho 3.44-3.70, 2 Pm 3.71
Ho  0.1123  0.8877  0.2242  1 Th 3.39, 7 Pm 3.49-3.71, 2 Tm 3.70
Ho  0.1144  0.8856  0.7874  9 Pm 3.33-3.70, 1 Th 3.56
Ho  0.8856  0.1144  0.2874  9 Pm 3.33-3.70, 1 Th 3.56
Ho  0.8877  0.1123  0.7242  1 Th 3.39, 7 Pm 3.49-3.71, 2 Tm 3.70
Tm  0.4036  0.5964  0.9504  6 Pm 3.08-3.41
Tm  0.5964  0.4036  0.4504  6 Pm 3.08-3.41
Th  0.1999  0.8001  0.4948  2 Ho 3.39-3.56, 7 Pm 3.48-3.75, 2 Tm 3.54
Th  0.8001  0.1999  0.9948  2 Ho 3.39-3.56, 7 Pm 3.48-3.75, 2 Tm 3.54

Summary:
For the density of states at the Fermi level, the calculation gives 29.06 states/eV per cell. As for the energy relative to the elements: 153 meV per atom.

Record 8
LiFeSn: relaxed, GGA-PBE.

a b c (Å): 4.0267 3.8030 6.6329
angles (deg): 90.00 107.41 90.00
With the nearest neighbours (Å) after each atom.
Sites, in units of the cell vectors:
Li  0.0891  0.2500  0.1746  4 Fe 2.75-2.94, 4 Sn 2.78, 2 Li 2.92
Li  0.9109  0.7500  0.8254  4 Fe 2.75-2.94, 4 Sn 2.78, 2 Li 2.92
Fe  0.2440  0.7500  0.4878  4 Sn 2.67-2.69, 4 Li 2.75-2.94, 4 Fe 2.77
Fe  0.7560  0.2500  0.5122  4 Sn 2.67-2.69, 4 Li 2.75-2.94, 4 Fe 2.77
Sn  0.3924  0.2500  0.7885  4 Fe 2.67-2.69, 4 Li 2.78
Sn  0.6076  0.7500  0.2115  4 Fe 2.67-2.69, 4 Li 2.78

Summary:
For the density of states at the Fermi level, the calculation gives 3.80 states/eV per cell. As for the energy relative to the elements: -35 meV per atom.